Na2MgGe4Pt3, relaxed, DFT PBE-GGA; ΔH_f (0 K) = -0.388 eV/atom; space-group type = No. 115; crystal system = tetragonal; M_tot = 0.00 μB per atom
1.0
4.3339 0.0000 0.0000
0.0000 4.3339 0.0000
0.0000 0.0000 10.5416
Na Mg Ge Pt
2 1 4 3
Cartesian
0.0000 2.1669 2.6195
2.1669 0.0000 7.9221
0.0000 0.0000 5.2708
0.0000 0.0000 0.0000
0.0000 2.1669 6.7685
2.1669 0.0000 3.7731
2.1669 2.1669 0.0000
0.0000 2.1669 9.2301
2.1669 0.0000 1.3115
2.1669 2.1669 5.2708